1.
Density functional theory data (PBE) for crystalline Sr4AgPt at its relaxed geometry.

The value obtained for the formation energy is -0.418 eV per atom. The calculation puts the density at 4.58 g/cm3. The symmetry is No. 15.

Lattice parameters (Å, degrees): 7.5594 7.9617 9.4163 110.25 108.71 101.00
With the nearest neighbours (Å) after each atom.
Fractional coordinates of all 12 atoms:
Pt1 0.1750 0.9250 0.8500  6 Sr 2.97-3.08
Pt2 0.8250 0.0750 0.1500  6 Sr 2.97-3.08
Ag1 0.3794 0.6294 0.2587  8 Sr 3.30-3.63
Ag2 0.6206 0.3706 0.7413  8 Sr 3.30-3.63
Sr1 0.7035 0.0592 0.4163  1 Pt 2.97, 1 Ag 3.30
Sr2 0.9686 0.2110 0.9248  2 Pt 3.01-3.08
Sr3 0.2129 0.3571 0.4163  1 Pt 2.97, 1 Ag 3.30
Sr4 0.5437 0.2862 0.0752  2 Pt 3.01-3.08
Sr5 0.7871 0.6429 0.5837  1 Pt 2.97, 1 Ag 3.30
Sr6 0.4563 0.7138 0.9248  2 Pt 3.01-3.08
Sr7 0.0314 0.7890 0.0752  2 Pt 3.01-3.08
Sr8 0.2965 0.9408 0.5837  1 Pt 2.97, 1 Ag 3.30

2.
Density functional theory data (PBE) for crystalline Sr6Ag2Pt at its relaxed geometry.

The value obtained for the formation energy is -0.380 eV per atom. The calculation puts the density at 4.42 g/cm3. The symmetry is No. 14.

Lattice parameters (Å, degrees): 7.4724 8.5283 11.0444 90.00 89.94 90.00
With the nearest neighbours (Å) after each atom.
Fractional coordinates of all 18 atoms:
Sr1 0.3406 0.8126 0.0631  1 Pt 3.00
Sr2 0.1594 0.3126 0.4369  1 Pt 3.00
Sr3 0.8315 0.6716 0.9357  1 Pt 2.96
Sr4 0.8406 0.6874 0.5631  1 Pt 3.00
Sr5 0.6594 0.1874 0.9369  1 Pt 3.00
Sr6 0.3582 0.5384 0.7504  1 Pt 2.97, 1 Ag 3.30
Sr7 0.6685 0.1716 0.5643  1 Pt 2.96
Sr8 0.1418 0.0384 0.7496  1 Pt 2.97, 1 Ag 3.30
Sr9 0.6418 0.4616 0.2496  1 Pt 2.97, 1 Ag 3.30
Sr10 0.3315 0.8284 0.4357  1 Pt 2.96
Sr11 0.1685 0.3284 0.0643  1 Pt 2.96
Sr12 0.8582 0.9616 0.2504  1 Pt 2.97, 1 Ag 3.30
Pt1 0.5000 0.5000 0.0000  6 Sr 2.96-3.00
Pt2 0.0000 0.0000 0.5000  6 Sr 2.96-3.00
Ag1 0.4478 0.1144 0.2452  6 Sr 3.30-3.46
Ag2 0.5522 0.8856 0.7548  6 Sr 3.30-3.46
Ag3 0.0522 0.6144 0.2548  6 Sr 3.30-3.46
Ag4 0.9478 0.3856 0.7452  6 Sr 3.30-3.46